[1]
5
Lattice="-4.328 2.414 -3.142 2.961 -1.123 -4.941 -2.528 -3.018 -4.315" Properties=species:S:1:pos:R:3 comment="La2ZnAu2 PBE relaxed" ef_ev_per_atom=-0.46 e_tot_ev_per_atom=-3.99 pbc="T T T"
Zn 0.000 0.000 0.000
Au -1.273 -0.525 -4.129
Au -2.623 -1.202 -8.269
La -3.770 0.021 -5.749
La -0.126 -1.747 -6.648

=====

[2]
5
Lattice="-2.216 -3.860 -1.415 -1.187 -0.966 4.497 -3.942 2.452 -0.514" Properties=species:S:1:pos:R:3 comment="TaReOsW2 PBE relaxed" ef_ev_per_atom=2.05 relative_energy_ev_per_atom=0.073 e_tot_ev_per_atom=-10.23 pbc="T T T"
Re -3.673 -1.187 1.284
Os 0.000 0.000 0.000
W -1.971 1.226 -0.257
W -1.108 -1.930 -0.707
Ta -0.594 -0.483 2.249

=====

[3]
4
Lattice="-6.013 0.132 -1.501 3.917 -4.805 0.066 4.532 -0.302 4.219" Properties=species:S:1:pos:R:3 comment="CaInPd2 PBE relaxed" ef_ev_per_atom=0.05 e_tot_ev_per_atom=-3.73 pbc="T T T"
Ca 0.000 0.000 0.000
In 4.224 -2.554 2.142
Pd 2.167 -1.310 1.099
Pd 6.282 -3.797 3.186

=====

[4]
5
Lattice="-1.059 3.489 2.964 -4.271 -1.849 0.650 1.649 -2.548 3.588" Properties=species:S:1:pos:R:3 comment="Ga3PtS PBE relaxed" e_form_raw_ev_per_atom=0.45 relative_energy_ev_per_atom=0.690 e_tot_ev_per_atom=-3.40 pbc="T T T"
S 0.000 0.000 0.000
Ga -2.135 -0.924 0.325
Ga 0.824 -1.274 1.794
Ga -0.529 1.744 1.482
Pt -1.841 -0.454 3.601

=====

[5]
3
Lattice="3.545 0.000 0.000 -1.773 3.070 0.000 0.000 0.000 3.747" Properties=species:S:1:pos:R:3 comment="NbNiN PBE relaxed" e_form_raw_ev_per_atom=-0.42 e_tot_ev_per_atom=-8.48 pbc="T T T"
Nb 1.773 1.023 1.874
Ni 0.000 2.047 0.000
N 0.000 2.047 1.874

=====

[6]
10
Lattice="-3.643 -1.857 0.002 2.862 -5.618 -6.538 3.845 -7.538 3.319" Properties=species:S:1:pos:R:3 comment="Pr3AgPd PBE relaxed" ef_ev_per_atom=-0.24 relative_energy_ev_per_atom=0.096 e_tot_ev_per_atom=-4.72 pbc="T T T"
Pr 1.108 -9.948 0.178
Pr -0.550 -6.695 2.240
Pr -1.158 -5.496 -3.892
Pr -0.883 -1.539 0.057
Pr 0.741 -9.222 -3.547
Pr 1.243 -5.709 -0.961
Ag 3.533 -10.201 -2.061
Ag -1.641 -4.554 -0.446
Pd 1.613 -6.430 -3.721
Pd 2.100 -7.393 1.208

=====

[7]
5
Lattice="-3.071 0.355 1.369 -1.553 -4.820 -2.234 3.248 -1.413 7.648" Properties=species:S:1:pos:R:3 comment="SmDy2Sc2 PBE relaxed" ef_ev_per_atom=0.16 relative_energy_ev_per_atom=0.000 e_tot_ev_per_atom=-5.16 pbc="T T T"
Sm -0.513 -0.085 0.541
Dy 1.337 -2.946 5.430
Dy -2.455 -2.890 1.087
Sc -0.014 -4.469 2.797
Sc -1.108 -1.363 3.712

=====

[8]
12
Lattice="6.201 0.000 0.000 -3.101 5.370 0.000 0.000 0.000 7.295" Properties=species:S:1:pos:R:3 comment="K3CeGa2O6 PBE relaxed" e_form_raw_ev_per_atom=-1.97 e_tot_ev_per_atom=-5.72 pbc="T T T"
K 0.000 3.580 5.304
K 3.101 1.790 1.991
K 0.000 0.000 0.000
Ce 0.000 0.000 3.648
Ga 3.101 1.790 5.293
Ga 0.000 3.580 2.002
O 1.548 4.474 2.187
O 0.000 1.793 2.187
O -1.548 4.474 2.187
O 3.101 3.577 5.108
O 1.553 0.897 5.108
O 4.648 0.897 5.108

=====

Q: Number 3 is which compound?
A: CaInPd2